InMoC3: PBEsol geometry, meta-GGA SCAN.

Lattice parameters (Å, degrees): 4.1174 4.1174 4.1174 90.00 90.00 90.00
With the nearest neighbours (Å) after each atom.
Space group Pm-3m (No. 221)
Inequivalent atoms, fractional coordinates:
In 0.0000 0.0000 0.0000 (multiplicity 1)  6 C 2.06
Mo 0.5000 0.5000 0.5000 (multiplicity 1)  12 C 2.91
C 0.0000 0.0000 0.5000 (multiplicity 3)  2 In 2.06

Results
DFT total energy: -16.336 eV per atom



CdTeMo2: PBEsol geometry, meta-GGA SCAN.

Lattice parameters (Å, degrees): 3.2562 4.9073 9.9202 90.00 90.00 90.00
With the nearest neighbours (Å) after each atom.
Space group Cmm2 (No. 35)
Inequivalent atoms, fractional coordinates:
Cd 0.0000 0.0000 0.0000 (multiplicity 2)  2 Mo 2.91, 4 Cd 2.94
Te 0.0000 0.5000 0.6760 (multiplicity 2)  2 Mo 2.90, 4 Te 2.94
Mo 0.0000 0.0000 0.4337 (multiplicity 2)  2 Mo 2.50
Mo 0.0000 0.5000 0.2426 (multiplicity 2)  2 Mo 2.50

Results
excess energy over the best structure of this formula in the dataset: 0.00 eV/f.u.



Y3Hg: PBEsol geometry, meta-GGA SCAN.

Lattice parameters (Å, degrees): 3.5756 4.5228 6.6370 90.00 90.23 90.00
With the nearest neighbours (Å) after each atom.
Space group P2/m (No. 10)
Inequivalent atoms, fractional coordinates:
Y 0.0000 0.0000 0.0000 (multiplicity 1)  2 Hg 3.32, 10 Y 3.37-3.58
Y 0.4982 0.5000 0.7359 (multiplicity 2)  6 Y 3.13-3.51, 4 Hg 3.27-3.29
Hg 0.0000 0.0000 0.5000 (multiplicity 1)  10 Y 3.27-3.32, 2 Hg 3.58

Results
DFT total energy: -38.189 eV per atom